CrCuPCl2 | GGA-PBEsol | optimized geometry

The structure in POSCAR format:
```
CrCuPCl2
1.0
-2.119 -3.724 1.726
1.979 -2.608 -3.200
3.554 -0.728 2.792
Cl P Cu Cr
2 1 1 1
direct
0.000 0.500 0.000 Cl
0.000 0.000 0.500 Cl
0.500 0.000 0.000 P
0.500 0.500 0.500 Cu
0.000 0.000 0.000 Cr
```

Output
Fermi-level density of states: 0.654 states/eV/atom
Crystal system: tetragonal
Space-group type: No. 123
Formation energy (no corrections): 0.306 eV per atom


CrHCl2F | GGA-PBEsol | optimized geometry

The structure in POSCAR format:
```
CrHCl2F
1.0
-0.943 0.409 2.759
-4.203 -1.427 -1.224
1.167 -4.331 1.040
Cr F Cl H
1 1 2 1
direct
0.500 0.500 0.500 Cr
0.500 0.000 0.000 F
0.000 0.500 0.000 Cl
0.000 0.000 0.500 Cl
0.000 0.000 0.000 H
```

Output
Fermi-level density of states: 0.310 states/eV/atom
Crystal system: tetragonal
Space-group type: No. 123
Energy: -4.23 eV/atom


ZnCrH15N5Cl4F | GGA-PBEsol | optimized geometry

The structure in POSCAR format:
```
ZnCrH15N5Cl4F
1.0
7.836 0.000 0.000
0.000 9.034 0.000
-3.918 0.000 8.320
H F N Cl Zn Cr
30 2 10 8 2 2
direct
0.059 0.513 0.574 H
0.340 0.800 0.964 H
0.917 0.962 0.243 H
0.828 0.858 0.341 H
0.257 0.711 0.513 H
0.487 0.358 0.659 H
0.865 0.209 0.136 H
0.515 0.513 0.574 H
0.698 0.138 0.970 H
0.271 0.209 0.136 H
0.272 0.138 0.970 H
0.575 0.320 0.360 H
0.785 0.320 0.360 H
0.513 0.858 0.341 H
0.485 0.013 0.426 H
0.326 0.962 0.243 H
0.941 0.013 0.426 H
0.215 0.820 0.640 H
0.623 0.800 0.964 H
0.674 0.462 0.757 H
0.172 0.358 0.659 H
0.660 0.300 0.036 H
0.135 0.709 0.864 H
0.728 0.638 0.030 H
0.302 0.638 0.030 H
0.425 0.820 0.640 H
0.729 0.709 0.864 H
0.377 0.300 0.036 H
0.083 0.462 0.757 H
0.743 0.211 0.487 H
0.480 0.436 0.960 F
0.520 0.936 0.040 F
0.469 0.967 0.318 N
0.685 0.252 0.371 N
0.315 0.752 0.629 N
0.647 0.696 0.926 N
0.849 0.967 0.318 N
0.720 0.196 0.074 N
0.280 0.696 0.926 N
0.353 0.196 0.074 N
0.531 0.467 0.682 N
0.151 0.467 0.682 N
0.176 0.247 0.352 Cl
0.914 0.585 0.310 Cl
0.020 0.938 0.041 Cl
0.397 0.585 0.310 Cl
0.824 0.747 0.648 Cl
0.603 0.085 0.690 Cl
0.086 0.085 0.690 Cl
0.980 0.438 0.959 Cl
0.886 0.971 0.772 Zn
0.114 0.471 0.228 Zn
0.600 0.084 0.199 Cr
0.400 0.584 0.801 Cr
```

Output
Fermi-level density of states: 0.000 states/eV/atom
Crystal system: orthorhombic
Space-group type: No. 36
Energy: -4.99 eV/atom


MnCrClF2 | GGA-PBEsol | optimized geometry

The structure in POSCAR format:
```
MnCrClF2
1.0
3.829 0.000 0.000
0.000 3.829 0.000
0.000 0.000 5.917
F Mn Cr Cl
2 1 1 1
direct
0.500 0.000 0.000 F
0.000 0.500 0.000 F
0.500 0.500 0.500 Mn
0.000 0.000 0.000 Cr
0.000 0.000 0.500 Cl
```

Output
Fermi-level density of states: 0.522 states/eV/atom
Crystal system: tetragonal
Space-group type: No. 123
Formation energy (no corrections): -1.047 eV per atom


| no. | spin magnetization (μB per atom) | volume (A^3/atom) |
| --- | --- | --- |
| 1 | 0.4206 | 19.36 |
| 2 | 0.7990 | 12.48 |
| 3 | 0.1111 | 10.91 |
| 4 | 1.7499 | 17.35 |